## Sc6P2Se3S (PBE)

Data for Sc6P2Se3S after structural relaxation.

Lattice parameters (Å, degrees): 8.5557 8.5557 7.6599 104.00 104.00 25.54
Closest atoms and distances in Å follow each position.
Fractional coordinates of all 12 atoms:
Sc 0.0077 0.0077 0.2391  1 P 2.57, 2 S 2.61, 3 Se 2.78-2.80
Sc 0.3272 0.3272 0.4306  3 P 2.60, 3 Se 2.80
Sc 0.3366 0.3366 0.8993  2 P 2.59, 1 S 2.64, 3 Se 2.78-2.79
Sc 0.6634 0.6634 0.1007  2 P 2.59, 1 S 2.64, 3 Se 2.78-2.79
Sc 0.6728 0.6728 0.5694  3 P 2.60, 3 Se 2.80
Sc 0.9923 0.9923 0.7609  1 P 2.57, 2 S 2.61, 3 Se 2.78-2.80
P 0.1666 0.1666 0.3329  6 Sc 2.57-2.60
P 0.8334 0.8334 0.6671  6 Sc 2.57-2.60
Se 0.1651 0.1651 0.8341  6 Sc 2.78-2.80
Se 0.5000 0.5000 0.5000  6 Sc 2.78-2.80
Se 0.8349 0.8349 0.1659  6 Sc 2.78-2.80
S 0.5000 0.5000 0.0000  6 Sc 2.61-2.64

Summary:
Theoretical density   4.26 g cm⁻³
Total energy   -6.965 eV/atom
ΔE_f (raw)   -1.682 eV/atom
N(E_F)   4.8 states/eV/f.u.

## LaPaPb (PBE)

Data for LaPaPb after structural relaxation.

Lattice parameters (Å, degrees): 5.4033 5.4033 3.2779 90.00 90.00 120.00
Closest atoms and distances in Å follow each position.
Fractional coordinates of all 3 atoms:
La 0.0000 0.0000 0.0000  3 Pa 3.12, 2 La 3.28
Pa 0.3333 0.6667 0.0000  3 La 3.12, 2 Pa 3.28
Pb 0.6667 0.3333 0.5000  2 Pb 3.28, 6 La 3.52, 6 Pa 3.52

Summary:
Theoretical density   11.56 g cm⁻³
Total energy   -5.869 eV/atom
Formation energy   0.175 eV per atom
Polymorph energy (0 for the lowest one)   168.9 meV/atom
N(E_F)   5.3 states/eV/f.u.

## CrMoH2 (PBE)

Data for CrMoH2 after structural relaxation.

Lattice parameters (Å, degrees): 3.6347 3.6347 3.6347 60.00 60.00 60.00
Closest atoms and distances in Å follow each position.
Fractional coordinates of all 4 atoms:
Cr 0.0000 0.0000 0.0000  8 H 2.23
Mo 0.5000 0.5000 0.5000  8 H 2.23
H 0.2500 0.2500 0.2500  4 Cr 2.23, 4 Mo 2.23
H 0.7500 0.7500 0.7500  4 Cr 2.23, 4 Mo 2.23

Summary:
Theoretical density   7.33 g cm⁻³
Total energy   -6.149 eV/atom
Polymorph energy (0 for the lowest one)   596.9 meV/atom
N(E_F)   2.9 states/eV/f.u.

Repeat the first record exactly.
## Sc6P2Se3S (PBE)

Data for Sc6P2Se3S after structural relaxation.

Lattice parameters (Å, degrees): 8.5557 8.5557 7.6599 104.00 104.00 25.54
Closest atoms and distances in Å follow each position.
Fractional coordinates of all 12 atoms:
Sc 0.0077 0.0077 0.2391  1 P 2.57, 2 S 2.61, 3 Se 2.78-2.80
Sc 0.3272 0.3272 0.4306  3 P 2.60, 3 Se 2.80
Sc 0.3366 0.3366 0.8993  2 P 2.59, 1 S 2.64, 3 Se 2.78-2.79
Sc 0.6634 0.6634 0.1007  2 P 2.59, 1 S 2.64, 3 Se 2.78-2.79
Sc 0.6728 0.6728 0.5694  3 P 2.60, 3 Se 2.80
Sc 0.9923 0.9923 0.7609  1 P 2.57, 2 S 2.61, 3 Se 2.78-2.80
P 0.1666 0.1666 0.3329  6 Sc 2.57-2.60
P 0.8334 0.8334 0.6671  6 Sc 2.57-2.60
Se 0.1651 0.1651 0.8341  6 Sc 2.78-2.80
Se 0.5000 0.5000 0.5000  6 Sc 2.78-2.80
Se 0.8349 0.8349 0.1659  6 Sc 2.78-2.80
S 0.5000 0.5000 0.0000  6 Sc 2.61-2.64

Summary:
Theoretical density   4.26 g cm⁻³
Total energy   -6.965 eV/atom
ΔE_f (raw)   -1.682 eV/atom
N(E_F)   4.8 states/eV/f.u.